Ir3Rh3W2 after structural relaxation, computed with GGA-PBE.

ΔE to the lowest computed polymorph = 0.319 eV per atom

Unit cell a=4.9554 b=4.9554 c=4.9554 alpha=92.30 beta=92.30 gamma=87.70
Last column: nearest neighbours and their distance in Å.
Positions (direct):
Ir1 0.2603 0.7397 0.5000  2 Rh 2.48, 4 W 2.76-2.78
Ir2 0.5000 0.2603 0.2603  2 Rh 2.48, 4 W 2.76-2.78
Ir3 0.7397 0.5000 0.7397  2 Rh 2.48, 4 W 2.76-2.78
Rh1 0.2334 0.7666 0.0000  2 Ir 2.48, 2 W 2.76, 2 Rh 2.78
Rh2 0.0000 0.2334 0.2334  2 Ir 2.48, 2 W 2.76, 2 Rh 2.78
Rh3 0.7666 0.0000 0.7666  2 Ir 2.48, 2 W 2.76, 2 Rh 2.78
W1 0.2523 0.2523 0.7477  6 Ir 2.76-2.78, 6 Rh 2.76-2.79
W2 0.7477 0.7477 0.2523  6 Ir 2.76-2.78, 6 Rh 2.76-2.79

Ir3Rh2W3 after structural relaxation, computed with GGA-PBE.

DFT total energy = -10.266 eV per atom

Unit cell a=3.9073 b=3.9213 c=8.2771 alpha=103.70 beta=103.65 gamma=90.00
Last column: nearest neighbours and their distance in Å.
Positions (direct):
Ir1 0.6235 0.6235 0.2469  6 W 2.74-2.77, 2 Ir 2.75, 4 Rh 2.76-2.80
Ir2 0.3765 0.3765 0.7531  6 W 2.74-2.77, 2 Ir 2.75, 4 Rh 2.76-2.80
Ir3 0.5000 0.0000 0.0000  4 Ir 2.75, 8 W 2.77-2.79
Rh1 0.7479 0.2479 0.4959  4 W 2.71-2.76, 4 Ir 2.76-2.80, 4 Rh 2.77
Rh2 0.2521 0.7521 0.5041  4 W 2.71-2.76, 4 Ir 2.76-2.80, 4 Rh 2.77
W1 0.1276 0.1276 0.2551  4 Rh 2.71-2.76, 6 Ir 2.77-2.79, 2 W 2.79
W2 0.0000 0.5000 0.0000  8 Ir 2.74-2.77, 4 W 2.79
W3 0.8724 0.8724 0.7449  4 Rh 2.71-2.76, 6 Ir 2.77-2.79, 2 W 2.79

Ir2RhW after structural relaxation, computed with GGA-PBE.

ΔE to the lowest computed polymorph = 0.495 eV per atom

Unit cell a=4.4058 b=4.4058 c=4.4058 alpha=60.00 beta=60.00 gamma=60.00
Last column: nearest neighbours and their distance in Å.
Positions (direct):
Ir1 0.0000 0.0000 0.0000  4 W 2.70, 4 Ir 2.70
Ir2 0.7500 0.7500 0.7500  4 Ir 2.70, 4 Rh 2.70
Rh1 0.5000 0.5000 0.5000  4 W 2.70, 4 Ir 2.70
W1 0.2500 0.2500 0.2500  4 Rh 2.70, 4 Ir 2.70

IrRh2W after structural relaxation, computed with GGA-PBE.

ΔE to the lowest computed polymorph = 0.190 eV per atom

Unit cell a=4.7673 b=4.7673 c=4.7564 alpha=80.50 beta=80.50 gamma=33.51
Last column: nearest neighbours and their distance in Å.
Positions (direct):
Ir1 0.2482 0.2482 0.2509  3 W 2.73-2.77, 7 Rh 2.75, 2 Ir 2.75
Rh1 0.9980 0.9980 0.0006  5 Rh 2.71-2.79, 4 W 2.74-2.75, 3 Ir 2.75
Rh2 0.7528 0.7528 0.7495  5 Rh 2.71-2.79, 3 W 2.74-2.77, 4 Ir 2.75
W1 0.5009 0.5009 0.4990  3 Ir 2.73-2.77, 7 Rh 2.74-2.77, 2 W 2.75

Ir8Rh2W after structural relaxation, computed with GGA-PBE.

DFT total energy = -8.662 eV per atom

Unit cell a=4.5782 b=6.2202 c=7.0368 alpha=112.47 beta=104.12 gamma=100.60
Last column: nearest neighbours and their distance in Å.
Positions (direct):
Ir1 0.1664 0.3188 0.2280  4 Ir 2.50-2.78, 2 Rh 2.66-2.69
Ir2 0.9384 0.0908 0.7720  4 Ir 2.50-2.78, 2 Rh 2.66-2.69
Ir3 0.7266 0.4232 0.0000  6 Ir 2.44-2.73, 2 Rh 2.63, 1 W 2.65
Ir4 0.7125 0.2125 0.4251  2 Rh 2.58, 1 W 2.59, 6 Ir 2.84-2.88
Ir5 0.2875 0.7875 0.5749  2 Rh 2.58, 1 W 2.59, 6 Ir 2.84-2.88
Ir6 0.2734 0.5768 0.0000  6 Ir 2.44-2.73, 2 Rh 2.63, 1 W 2.65
Ir7 0.0616 0.9092 0.2280  4 Ir 2.50-2.78, 2 Rh 2.66-2.69
Ir8 0.8336 0.6812 0.7720  4 Ir 2.50-2.78, 2 Rh 2.66-2.69
Rh1 0.6906 0.6906 0.3813  8 Ir 2.58-2.69
Rh2 0.3094 0.3094 0.6187  8 Ir 2.58-2.69
W1 0.5000 0.0000 0.0000  4 Ir 2.59-2.65

Ir2RhW after structural relaxation, computed with GGA-PBE.

ΔE to the lowest computed polymorph = 0.132 eV per atom

Unit cell a=4.7778 b=4.7778 c=4.7738 alpha=80.54 beta=80.54 gamma=33.46
Last column: nearest neighbours and their distance in Å.
Positions (direct):
Ir1 0.0002 0.0002 0.9978  5 Ir 2.74-2.76, 4 Rh 2.74-2.77, 3 W 2.75-2.77
Ir2 0.7478 0.7478 0.7517  3 Rh 2.73-2.78, 5 Ir 2.74-2.76, 4 W 2.75-2.76
Rh1 0.5008 0.5008 0.5005  7 Ir 2.73-2.78, 2 Rh 2.75, 3 W 2.75-2.76
W1 0.2512 0.2512 0.2500  2 W 2.75, 7 Ir 2.75-2.77, 3 Rh 2.75-2.76